Entry 1:
The following is a PBE-GGA calculation of a relaxed structure of PmSm2TlN, from Alexandria.

Cell lengths 4.991, 4.963, 4.963 Å; angles 90.00, 90.00, 90.00 degrees
Sites, in units of the cell vectors:
Sm 0.000 0.000 0.500
Sm 0.000 0.500 0.000
Pm 0.500 0.000 0.000
Tl 0.500 0.500 0.500
N 0.000 0.000 0.000

Summary:
The calculation puts the density of states at the Fermi level at 2.40 states/eV per cell. The magnetization comes out at 0.000 μB per atom. Its raw formation energy is -858 meV per atom.

Entry 2:
The following is a PBE-GGA calculation of a relaxed structure of MnBe2I8, from Alexandria.

Cell lengths 6.614, 8.592, 8.592 Å; angles 66.64, 93.52, 93.52 degrees
Each line ends with the local moment (μB).
Sites, in units of the cell vectors:
I 0.749 0.721 0.118  -0.04
I 0.749 0.118 0.721  -0.04
I 0.788 0.161 0.161  -0.06
I 0.251 0.882 0.279  -0.04
I 0.251 0.279 0.882  -0.04
I 0.612 0.676 0.676  -0.12
I 0.388 0.324 0.324  -0.12
I 0.212 0.839 0.839  -0.06
Mn 0.000 0.000 0.000  3.39
Be 0.421 0.163 0.163  0.01
Be 0.579 0.837 0.837  0.01

Summary:
The magnetization comes out at 0.263 μB per atom. Its raw formation energy is -374 meV per atom.

Entry 3:
The following is a PBE-GGA calculation of a relaxed structure of CdHgMo2, from Alexandria.

Cell lengths 10.253, 10.253, 10.253 Å; angles 16.33, 16.33, 16.33 degrees
Sites, in units of the cell vectors:
Hg 0.745 0.745 0.745
Mo 0.995 0.995 0.995
Mo 0.255 0.255 0.255
Cd 0.505 0.505 0.505

Summary:
The calculation puts the density of states at the Fermi level at 3.74 states/eV per cell. The magnetization comes out at 0.000 μB per atom. Its total energy is -21.09 eV/cell.

Entry 4:
The following is a PBE-GGA calculation of a relaxed structure of LiY2ScO, from Alexandria.

Cell lengths 4.969, 4.969, 4.251 Å; angles 90.00, 90.00, 90.00 degrees
Sites, in units of the cell vectors:
Sc 0.000 0.000 0.500
Y 0.500 0.000 0.000
Y 0.000 0.500 0.000
Li 0.500 0.500 0.500
O 0.000 0.000 0.000

Summary:
The calculation puts the density of states at the Fermi level at 4.61 states/eV per cell. The magnetization comes out at 0.000 μB per atom. Its raw formation energy is -1086 meV per atom.

What did the fourth record say?
The following is a PBE-GGA calculation of a relaxed structure of LiY2ScO, from Alexandria.

Cell lengths 4.969, 4.969, 4.251 Å; angles 90.00, 90.00, 90.00 degrees
Sites, in units of the cell vectors:
Sc 0.000 0.000 0.500
Y 0.500 0.000 0.000
Y 0.000 0.500 0.000
Li 0.500 0.500 0.500
O 0.000 0.000 0.000

Summary:
The calculation puts the density of states at the Fermi level at 4.61 states/eV per cell. The magnetization comes out at 0.000 μB per atom. Its raw formation energy is -1086 meV per atom.